Record 1
First-principles (GGA-PBE) data for BeBr2Cl after structural relaxation, as listed in Alexandria.

Values from the calculation:
- VASP energy (eV/cell) = -11.70
- theoretical density (g/cm³) = 2.668
- crystal system = monoclinic
- formation energy (no corrections) (eV/atom) = -0.696
- E above lowest polymorph (meV per atom) = 0

```
BeBr2Cl
1.0
6.763 0.000 0.000
0.000 2.982 0.000
-3.309 0.000 6.305
Be Br Cl
1 2 1
direct
0.000 0.000 0.000 Be
0.664 0.500 0.729 Br
0.921 0.000 0.264 Br
0.206 0.500 0.016 Cl
```

---

Record 2
First-principles (GGA-PBE) data for Hg2MoCl after structural relaxation, as listed in Alexandria.

Values from the calculation:
- VASP energy (eV/cell) = -40.56
- theoretical density (g/cm³) = 9.151
- crystal system = cubic
- formation energy (no corrections) (eV/atom) = 0.786
- E above lowest polymorph (meV per atom) = 617

```
Hg2MoCl
1.0
7.285 0.000 0.000
0.000 7.285 0.000
0.000 0.000 7.285
Hg Mo Cl
8 4 4
direct
0.250 0.250 0.250 Hg
0.250 0.250 0.750 Hg
0.250 0.750 0.250 Hg
0.250 0.750 0.750 Hg
0.750 0.250 0.250 Hg
0.750 0.250 0.750 Hg
0.750 0.750 0.250 Hg
0.750 0.750 0.750 Hg
0.000 0.000 0.000 Mo
0.000 0.500 0.500 Mo
0.500 0.000 0.500 Mo
0.500 0.500 0.000 Mo
0.000 0.000 0.500 Cl
0.000 0.500 0.000 Cl
0.500 0.000 0.000 Cl
0.500 0.500 0.500 Cl
```

---

Record 3
First-principles (GGA-PBE) data for Li2ReW after structural relaxation, as listed in Alexandria.

Values from the calculation:
- VASP energy (eV/cell) = -55.15
- energy relative to the elements (kJ per mole of atoms) = 39.9
- theoretical density (g/cm³) = 11.222
- crystal system = tetragonal
- E above lowest polymorph (meV per atom) = 182

```
Li2ReW
1.0
4.310 0.000 0.000
0.000 4.310 0.000
0.000 0.000 6.117
Li Re W
4 2 2
direct
0.000 0.000 0.000 Li
0.000 0.500 0.250 Li
0.500 0.000 0.750 Li
0.500 0.500 0.500 Li
0.000 0.500 0.750 Re
0.500 0.000 0.250 Re
0.000 0.000 0.500 W
0.500 0.500 0.000 W
```

---

Record 4
First-principles (GGA-PBE) data for Ca2Ga3SnAu4 after structural relaxation, as listed in Alexandria.

Values from the calculation:
- VASP energy (eV/cell) = -35.57
- energy relative to the elements (kJ per mole of atoms) = -51.9
- theoretical density (g/cm³) = 9.052
- crystal system = tetragonal

```
Ca2Ga3SnAu4
1.0
4.457 0.000 0.000
0.000 4.457 0.000
0.000 0.000 11.042
Ca Ga Sn Au
2 3 1 4
direct
0.000 0.500 0.236 Ca
0.500 0.000 0.764 Ca
0.000 0.500 0.877 Ga
0.500 0.000 0.123 Ga
0.500 0.500 0.500 Ga
0.000 0.000 0.500 Sn
0.000 0.000 0.000 Au
0.000 0.500 0.649 Au
0.500 0.000 0.351 Au
0.500 0.500 0.000 Au
```

---

Record 5
First-principles (GGA-PBE) data for SnHgGe2 after structural relaxation, as listed in Alexandria.

Values from the calculation:
- VASP energy (eV/cell) = -49.76
- energy relative to the elements (kJ per mole of atoms) = 26.5
- theoretical density (g/cm³) = 8.401
- crystal system = cubic

```
SnHgGe2
1.0
7.162 0.000 0.000
0.000 7.162 0.000
0.000 0.000 7.162
Sn Hg Ge
4 4 8
direct
0.000 0.000 0.000 Sn
0.000 0.500 0.500 Sn
0.500 0.000 0.500 Sn
0.500 0.500 0.000 Sn
0.000 0.000 0.500 Hg
0.000 0.500 0.000 Hg
0.500 0.000 0.000 Hg
0.500 0.500 0.500 Hg
0.250 0.250 0.250 Ge
0.250 0.250 0.750 Ge
0.250 0.750 0.250 Ge
0.250 0.750 0.750 Ge
0.750 0.250 0.250 Ge
0.750 0.250 0.750 Ge
0.750 0.750 0.250 Ge
0.750 0.750 0.750 Ge
```

---

Record 6
First-principles (GGA-PBE) data for Cs2RbTl12Pt3 after structural relaxation, as listed in Alexandria.

Values from the calculation:
- VASP energy (eV/cell) = -48.91
- energy relative to the elements (kJ per mole of atoms) = 1.5
- theoretical density (g/cm³) = 8.133
- crystal system = trigonal

```
Cs2RbTl12Pt3
1.0
5.051 2.916 7.828
-5.051 2.916 7.828
0.000 -5.833 7.828
Cs Rb Tl Pt
2 1 12 3
direct
0.086 0.086 0.086 Cs
0.914 0.914 0.914 Cs
0.500 0.500 0.500 Rb
0.016 0.664 0.664 Tl
0.234 0.234 0.619 Tl
0.234 0.619 0.234 Tl
0.336 0.336 0.984 Tl
0.336 0.984 0.336 Tl
0.381 0.766 0.766 Tl
0.619 0.234 0.234 Tl
0.664 0.016 0.664 Tl
0.664 0.664 0.016 Tl
0.766 0.381 0.766 Tl
0.766 0.766 0.381 Tl
0.984 0.336 0.336 Tl
0.000 0.500 0.500 Pt
0.500 0.000 0.500 Pt
0.500 0.500 0.000 Pt
```

---

Record 7
First-principles (GGA-PBE) data for NiPPbCl2 after structural relaxation, as listed in Alexandria.

Values from the calculation:
- VASP energy (eV/cell) = -19.13
- theoretical density (g/cm³) = 6.333
- crystal system = tetragonal
- formation energy (no corrections) (eV/atom) = -0.108
- E above lowest polymorph (meV per atom) = 0

```
NiPPbCl2
1.0
4.602 0.000 0.000
0.000 4.602 0.000
0.000 0.000 4.554
Ni P Pb Cl
1 1 1 2
direct
0.000 0.000 0.000 Ni
0.000 0.000 0.500 P
0.500 0.500 0.500 Pb
0.000 0.500 0.000 Cl
0.500 0.000 0.000 Cl
```

---

Record 8
First-principles (GGA-PBE) data for Tc3MoC after structural relaxation, as listed in Alexandria.

Values from the calculation:
- VASP energy (eV/cell) = -36.03
- energy relative to the elements (kJ per mole of atoms) = 291.8
- theoretical density (g/cm³) = 6.593
- crystal system = cubic
- E above lowest polymorph (meV per atom) = 2941

```
Tc3MoC
1.0
4.661 0.000 0.000
0.000 4.661 0.000
0.000 0.000 4.661
Tc Mo C
3 1 1
direct
0.000 0.000 0.500 Tc
0.000 0.500 0.000 Tc
0.500 0.000 0.000 Tc
0.000 0.000 0.000 Mo
0.500 0.500 0.500 C
```

---

Record 9
First-principles (GGA-PBE) data for Gd3DyTc after structural relaxation, as listed in Alexandria.

Values from the calculation:
- VASP energy (eV/cell) = -56.57
- energy relative to the elements (kJ per mole of atoms) = 12.3
- theoretical density (g/cm³) = 7.745
- crystal system = cubic

```
Gd3DyTc
1.0
5.395 0.000 0.000
0.000 5.395 0.000
0.000 0.000 5.395
Gd Dy Tc
3 1 1
direct
0.000 0.000 0.500 Gd
0.000 0.500 0.000 Gd
0.500 0.000 0.000 Gd
0.500 0.500 0.500 Dy
0.000 0.000 0.000 Tc
```

---

Record 10
First-principles (GGA-PBE) data for Li2YMg after structural relaxation, as listed in Alexandria.

Values from the calculation:
- VASP energy (eV/cell) = -34.59
- energy relative to the elements (kJ per mole of atoms) = 8.6
- theoretical density (g/cm³) = 2.112
- crystal system = trigonal

```
Li2YMg
1.0
3.258 0.000 0.000
-1.629 2.822 0.000
0.000 0.000 32.605
Li Y Mg
6 3 3
direct
0.000 0.000 0.246 Li
0.000 0.000 0.754 Li
0.333 0.667 0.420 Li
0.333 0.667 0.913 Li
0.667 0.333 0.087 Li
0.667 0.333 0.580 Li
0.000 0.000 0.000 Y
0.333 0.667 0.667 Y
0.667 0.333 0.333 Y
0.000 0.000 0.500 Mg
0.333 0.667 0.167 Mg
0.667 0.333 0.833 Mg
```

---

Record 11
First-principles (GGA-PBE) data for La2TiSb3Rh4 after structural relaxation, as listed in Alexandria.

Values from the calculation:
- VASP energy (eV/cell) = -68.28
- theoretical density (g/cm³) = 8.595
- crystal system = tetragonal
- formation energy (no corrections) (eV/atom) = -0.875

```
La2TiSb3Rh4
1.0
4.394 0.000 0.000
0.000 4.394 0.000
0.000 0.000 11.033
La Ti Sb Rh
2 1 3 4
direct
0.000 0.500 0.250 La
0.500 0.000 0.750 La
0.000 0.000 0.500 Ti
0.000 0.500 0.865 Sb
0.500 0.000 0.135 Sb
0.500 0.500 0.500 Sb
0.000 0.000 0.000 Rh
0.000 0.500 0.629 Rh
0.500 0.000 0.371 Rh
0.500 0.500 0.000 Rh
```

---

Record 12
First-principles (GGA-PBE) data for La3Tl5Te12 after structural relaxation, as listed in Alexandria.

Values from the calculation:
- VASP energy (eV/cell) = -303.40
- theoretical density (g/cm³) = 6.369
- crystal system = cubic
- formation energy (no corrections) (eV/atom) = -0.577

```
La3Tl5Te12
1.0
-9.183 9.183 9.183
9.183 -9.183 9.183
9.183 9.183 -9.183
La Tl Te
12 20 48
direct
0.125 0.250 0.375 La
0.125 0.375 0.750 La
0.250 0.375 0.125 La
0.250 0.875 0.625 La
0.375 0.125 0.250 La
0.375 0.750 0.125 La
0.625 0.250 0.875 La
0.625 0.875 0.750 La
0.750 0.125 0.375 La
0.750 0.625 0.875 La
0.875 0.625 0.250 La
0.875 0.750 0.625 La
0.000 0.000 0.000 Tl
0.000 0.000 0.500 Tl
0.000 0.500 0.000 Tl
0.000 0.500 0.500 Tl
0.125 0.750 0.875 Tl
0.125 0.875 0.250 Tl
0.250 0.125 0.875 Tl
0.250 0.625 0.375 Tl
0.375 0.250 0.625 Tl
0.375 0.625 0.750 Tl
0.500 0.000 0.000 Tl
0.500 0.000 0.500 Tl
0.500 0.500 0.000 Tl
0.500 0.500 0.500 Tl
0.625 0.375 0.250 Tl
0.625 0.750 0.375 Tl
0.750 0.375 0.625 Tl
0.750 0.875 0.125 Tl
0.875 0.125 0.750 Tl
0.875 0.250 0.125 Tl
0.055 0.228 0.140 Te
0.055 0.327 0.915 Te
0.085 0.640 0.412 Te
0.085 0.945 0.673 Te
0.088 0.728 0.673 Te
0.088 0.860 0.415 Te
0.140 0.055 0.228 Te
0.140 0.585 0.912 Te
0.173 0.228 0.588 Te
0.173 0.445 0.585 Te
0.228 0.140 0.055 Te
0.228 0.588 0.173 Te
0.272 0.327 0.912 Te
0.272 0.445 0.360 Te
0.327 0.912 0.272 Te
0.327 0.915 0.055 Te
0.360 0.272 0.445 Te
0.360 0.588 0.915 Te
0.412 0.085 0.640 Te
0.412 0.827 0.772 Te
0.415 0.088 0.860 Te
0.415 0.827 0.555 Te
0.445 0.360 0.272 Te
0.445 0.585 0.173 Te
0.555 0.415 0.827 Te
0.555 0.640 0.728 Te
0.585 0.173 0.445 Te
0.585 0.912 0.140 Te
0.588 0.173 0.228 Te
0.588 0.915 0.360 Te
0.640 0.412 0.085 Te
0.640 0.728 0.555 Te
0.673 0.085 0.945 Te
0.673 0.088 0.728 Te
0.728 0.555 0.640 Te
0.728 0.673 0.088 Te
0.772 0.412 0.827 Te
0.772 0.860 0.945 Te
0.827 0.555 0.415 Te
0.827 0.772 0.412 Te
0.860 0.415 0.088 Te
0.860 0.945 0.772 Te
0.912 0.140 0.585 Te
0.912 0.272 0.327 Te
0.915 0.055 0.327 Te
0.915 0.360 0.588 Te
0.945 0.673 0.085 Te
0.945 0.772 0.860 Te
```